Entry 1:
Material: TmInBr3
Method: DFT, PBE
State: optimized geometry

## Properties
Space group: Pnma
Magnetization in μB/f.u.: 0.87
Calculated total energy in Ry per atom: -0.26668

abc: 9.7411 3.8424 16.6395
angles: 90.00 90.00 90.00
Closest atoms and distances in Å follow each position.
Positions (direct):
Tm: 0.1285 0.2500 0.0499  6 Br 2.81-2.93
Tm: 0.3715 0.7500 0.5499  6 Br 2.81-2.93
Tm: 0.6285 0.2500 0.4501  6 Br 2.81-2.93
Tm: 0.8715 0.7500 0.9501  6 Br 2.81-2.93
In: 0.0176 0.7500 0.3214  6 Br 3.29-3.53
In: 0.4824 0.2500 0.8214  6 Br 3.29-3.53
In: 0.5176 0.7500 0.1786  6 Br 3.29-3.53
In: 0.9824 0.2500 0.6786  6 Br 3.29-3.53
Br: 0.0561 0.2500 0.8791  3 Tm 2.88-2.93
Br: 0.1736 0.2500 0.5057  2 Tm 2.82
Br: 0.2468 0.2500 0.2042  1 Tm 2.81
Br: 0.2532 0.7500 0.7042  1 Tm 2.81
Br: 0.3264 0.7500 0.0057  2 Tm 2.82
Br: 0.4439 0.7500 0.3791  3 Tm 2.88-2.93
Br: 0.5561 0.2500 0.6209  3 Tm 2.88-2.93
Br: 0.6736 0.2500 0.9943  2 Tm 2.82
Br: 0.7468 0.2500 0.2958  1 Tm 2.81
Br: 0.7532 0.7500 0.7958  1 Tm 2.81
Br: 0.8264 0.7500 0.4943  2 Tm 2.82
Br: 0.9439 0.7500 0.1209  3 Tm 2.88-2.93



Entry 2:
Material: ReTcB4
Method: DFT, PBE
State: optimized geometry

## Properties
Space group: P-6m2
Magnetization in μB/f.u.: 0.00
Polymorph energy (0 for the lowest one) in meV per atom: 0

abc: 2.9043 2.9043 7.4806
angles: 90.00 90.00 120.00
Closest atoms and distances in Å follow each position.
Positions (direct):
Re: 0.0000 0.0000 0.0000  8 B 2.23-2.26
Tc: 0.6667 0.3333 0.5000  8 B 2.23-2.26
B: 0.0000 0.0000 0.2980  3 B 1.82
B: 0.0000 0.0000 0.7020  3 B 1.82
B: 0.6667 0.3333 0.2025  3 B 1.82
B: 0.6667 0.3333 0.7975  3 B 1.82



Entry 3:
Material: KRbDy2Sb2
Method: DFT, PBE
State: optimized geometry

## Properties
Space group: P4mm
Magnetization in μB/f.u.: 0.04
Polymorph energy (0 for the lowest one) in meV per atom: 0

abc: 5.1801 5.1801 8.6291
angles: 90.00 90.00 90.00
Closest atoms and distances in Å follow each position.
Positions (direct):
K: 0.0000 0.0000 0.0000  5 Sb 3.79-3.94, 4 Dy 4.06
Rb: 0.5000 0.5000 0.7316  5 Sb 3.76-3.95, 4 Dy 4.11
Dy: 0.0000 0.5000 0.3624  4 Sb 3.09-3.10
Dy: 0.5000 0.0000 0.3624  4 Sb 3.09-3.10
Sb: 0.0000 0.0000 0.5607  4 Dy 3.10
Sb: 0.5000 0.5000 0.1677  4 Dy 3.09



Entry 4:
Material: ZrCu
Method: DFT, PBE
State: optimized geometry

## Properties
Space group: Amm2
ΔH_f (0 K) in eV per formula unit: -0.13
Magnetization in μB/f.u.: 0.01

abc: 4.4995 8.6809 8.6809
angles: 149.01 90.00 90.00
Closest atoms and distances in Å follow each position.
Positions (direct):
Zr: 0.0000 0.0000 0.0000  10 Cu 2.67-2.93
Zr: 0.0000 0.1275 0.7446  3 Cu 2.75-2.89, 2 Zr 3.04
Zr: 0.0000 0.7446 0.1275  3 Cu 2.75-2.89, 2 Zr 3.04
Zr: 0.5000 0.2379 0.5998  5 Cu 2.73-3.03
Zr: 0.5000 0.5998 0.2379  5 Cu 2.73-3.03
Cu: 0.0000 0.4144 0.5773  5 Cu 2.66-2.90, 5 Zr 2.67-2.82
Cu: 0.0000 0.5773 0.4144  5 Cu 2.66-2.90, 5 Zr 2.67-2.82
Cu: 0.5000 0.4046 0.4046  8 Cu 2.66-2.76, 2 Zr 2.93
Cu: 0.5000 0.8082 0.9754  5 Cu 2.66-2.90, 6 Zr 2.70-2.94
Cu: 0.5000 0.9754 0.8082  5 Cu 2.66-2.90, 6 Zr 2.70-2.94



Entry 5:
Material: HoTmGa2Ir4
Method: DFT, PBE
State: optimized geometry

## Properties
Space group: P-6m2
Magnetization in μB/f.u.: 0.07
Calculated total energy in Ry per atom: -0.50793

abc: 4.3336 4.3336 8.8922
angles: 90.00 90.00 120.00
Closest atoms and distances in Å follow each position.
Positions (direct):
Ho: 0.0000 0.0000 0.0000  8 Ir 2.92-3.00
Tm: 0.6667 0.3333 0.5000  8 Ir 2.89-2.95
Ga: 0.3333 0.6667 0.2516  6 Ir 2.61-2.62
Ga: 0.3333 0.6667 0.7484  6 Ir 2.61-2.62
Ir: 0.0000 0.0000 0.3375  3 Ga 2.62, 3 Tm 2.89, 4 Ir 2.89-2.92
Ir: 0.0000 0.0000 0.6625  3 Ga 2.62, 3 Tm 2.89, 4 Ir 2.89-2.92
Ir: 0.6667 0.3333 0.1685  3 Ga 2.61, 3 Ho 2.92, 3 Ir 2.92
Ir: 0.6667 0.3333 0.8315  3 Ga 2.61, 3 Ho 2.92, 3 Ir 2.92



Entry 6:
Material: Rb2HfHgBr6
Method: DFT, PBE
State: optimized geometry

## Properties
Space group: P4/mmm
Magnetization in μB/f.u.: 0.15
Polymorph energy (0 for the lowest one) in meV per atom: 717

abc: 4.9616 4.9616 14.5976
angles: 90.00 90.00 90.00
Closest atoms and distances in Å follow each position.
Positions (direct):
Rb: 0.0000 0.0000 0.2164  5 Br 3.16-3.36
Rb: 0.0000 0.0000 0.7836  5 Br 3.16-3.36
Hf: 0.5000 0.5000 0.5000  8 Br 3.11
Hg: 0.5000 0.5000 0.0000  4 Br 3.51
Br: 0.0000 0.0000 0.0000  2 Rb 3.16, 4 Hg 3.51
Br: 0.0000 0.0000 0.5000  8 Br 3.11
Br: 0.0000 0.5000 0.3717  2 Hf 3.11, 2 Br 3.11, 2 Rb 3.36
Br: 0.0000 0.5000 0.6283  2 Hf 3.11, 2 Br 3.11, 2 Rb 3.36
Br: 0.5000 0.0000 0.3717  2 Hf 3.11, 2 Br 3.11, 2 Rb 3.36
Br: 0.5000 0.0000 0.6283  2 Hf 3.11, 2 Br 3.11, 2 Rb 3.36



Entry 7:
Material: NaInCoBi
Method: DFT, PBE
State: optimized geometry

## Properties
Space group: F-43m
Magnetization in μB/f.u.: 1.73
Polymorph energy (0 for the lowest one) in meV per atom: 208

abc: 7.0994 7.0994 7.0994
angles: 90.00 90.00 90.00
Closest atoms and distances in Å follow each position.
Positions (direct):
Na: 0.0000 0.0000 0.0000  4 In 3.07, 4 Co 3.07
Na: 0.0000 0.5000 0.5000  4 In 3.07, 4 Co 3.07
Na: 0.5000 0.0000 0.5000  4 In 3.07, 4 Co 3.07
Na: 0.5000 0.5000 0.0000  4 In 3.07, 4 Co 3.07
In: 0.2500 0.2500 0.7500  4 Na 3.07, 4 Bi 3.07
In: 0.2500 0.7500 0.2500  4 Na 3.07, 4 Bi 3.07
In: 0.7500 0.2500 0.2500  4 Na 3.07, 4 Bi 3.07
In: 0.7500 0.7500 0.7500  4 Na 3.07, 4 Bi 3.07
Co: 0.2500 0.2500 0.2500  4 Na 3.07, 4 Bi 3.07
Co: 0.2500 0.7500 0.7500  4 Na 3.07, 4 Bi 3.07
Co: 0.7500 0.2500 0.7500  4 Na 3.07, 4 Bi 3.07
Co: 0.7500 0.7500 0.2500  4 Na 3.07, 4 Bi 3.07
Bi: 0.0000 0.0000 0.5000  4 Co 3.07, 4 In 3.07
Bi: 0.0000 0.5000 0.0000  4 Co 3.07, 4 In 3.07
Bi: 0.5000 0.0000 0.0000  4 Co 3.07, 4 In 3.07
Bi: 0.5000 0.5000 0.5000  4 Co 3.07, 4 In 3.07



Entry 8:
Material: LiHf2As
Method: DFT, PBE
State: optimized geometry

## Properties
Space group: F-43m
Magnetization in μB/f.u.: 0.04
Calculated total energy in Ry per atom: -0.47113

abc: 6.6519 6.6519 6.6519
angles: 90.00 90.00 90.00
Closest atoms and distances in Å follow each position.
Positions (direct):
Li: 0.0000 0.0000 0.0000  4 As 2.88, 4 Hf 2.88
Li: 0.0000 0.5000 0.5000  4 As 2.88, 4 Hf 2.88
Li: 0.5000 0.0000 0.5000  4 As 2.88, 4 Hf 2.88
Li: 0.5000 0.5000 0.0000  4 As 2.88, 4 Hf 2.88
Hf: 0.0000 0.0000 0.5000  4 Hf 2.88, 4 As 2.88
Hf: 0.0000 0.5000 0.0000  4 Hf 2.88, 4 As 2.88
Hf: 0.2500 0.2500 0.2500  4 Li 2.88, 4 Hf 2.88
Hf: 0.2500 0.7500 0.7500  4 Hf 2.88, 4 Li 2.88
Hf: 0.5000 0.0000 0.0000  4 Hf 2.88, 4 As 2.88
Hf: 0.5000 0.5000 0.5000  4 Hf 2.88, 4 As 2.88
Hf: 0.7500 0.2500 0.7500  4 Hf 2.88, 4 Li 2.88
Hf: 0.7500 0.7500 0.2500  4 Li 2.88, 4 Hf 2.88
As: 0.2500 0.2500 0.7500  4 Hf 2.88, 4 Li 2.88
As: 0.2500 0.7500 0.2500  4 Hf 2.88, 4 Li 2.88
As: 0.7500 0.2500 0.2500  4 Hf 2.88, 4 Li 2.88
As: 0.7500 0.7500 0.7500  4 Hf 2.88, 4 Li 2.88



Entry 9:
Material: Tb2NiGe6
Method: DFT, PBE
State: optimized geometry

## Properties
Space group: Cmmm
Magnetization in μB/f.u.: 0.00
Polymorph energy (0 for the lowest one) in meV per atom: 27

abc: 11.0396 11.0396 4.0973
angles: 90.00 90.00 159.35
Closest atoms and distances in Å follow each position.
Positions (direct):
Tb: 0.1735 0.8265 0.0000  10 Ge 2.97-3.23
Tb: 0.8265 0.1735 0.0000  10 Ge 2.97-3.23
Ni: 0.5000 0.5000 0.5000  8 Ge 2.46-2.49
Ge: 0.0670 0.9330 0.5000  2 Ni 2.46
Ge: 0.2885 0.7115 0.5000  2 Ge 2.59
Ge: 0.4352 0.5648 0.0000  2 Ni 2.49
Ge: 0.5648 0.4352 0.0000  2 Ni 2.49
Ge: 0.7115 0.2885 0.5000  2 Ge 2.59
Ge: 0.9330 0.0670 0.5000  2 Ni 2.46



Entry 10:
Material: Y6Ho2Te
Method: DFT, PBE
State: optimized geometry

## Properties
Space group: P-62m
Magnetization in μB/f.u.: 0.17
Calculated total energy in Ry per atom: -0.43943

abc: 9.2331 9.2331 3.7931
angles: 90.00 90.00 120.00
Closest atoms and distances in Å follow each position.
Positions (direct):
Y: 0.0000 0.2741 0.0000  2 Te 3.16, 2 Ho 3.38
Y: 0.0000 0.6165 0.5000  4 Ho 3.44, 1 Te 3.54, 8 Y 3.69-3.79
Y: 0.2741 0.0000 0.0000  2 Te 3.16, 2 Ho 3.38
Y: 0.3835 0.3835 0.5000  4 Ho 3.44, 1 Te 3.54, 8 Y 3.69-3.79
Y: 0.6165 0.0000 0.5000  4 Ho 3.44, 1 Te 3.54, 8 Y 3.69-3.79
Y: 0.7259 0.7259 0.0000  2 Te 3.16, 2 Ho 3.38
Ho: 0.3333 0.6667 0.0000  9 Y 3.38-3.44
Ho: 0.6667 0.3333 0.0000  9 Y 3.38-3.44
Te: 0.0000 0.0000 0.5000  9 Y 3.16-3.54